1.
The following is a DFT calculation (PBE) of a relaxed structure of Zn5Pd3.

a = 4.054 Å, b = 5.359 Å, c = 5.359 Å
α = 88.79°, β = 90.00°, γ = 90.00°
Element x y z (fractional)
Zn: 0.000 0.000 0.000
Zn: 0.000 0.000 0.500
Zn: 0.000 0.500 0.000
Zn: 0.500 0.279 0.279
Zn: 0.500 0.721 0.721
Pd: 0.000 0.500 0.500
Pd: 0.500 0.783 0.217
Pd: 0.500 0.217 0.783

Values from the calculation:
Symmetry: Cmmm
VASP energy, eV for the cell shown: -25.50
Polymorph energy (0 for the lowest one), eV per atom: 0.000
D(E_F), states/eV/f.u.: 2.6
Size of the total moment, μB/f.u.: 0.00
Formation enthalpy at 0 K, eV per atom: -0.444


2.
The following is a DFT calculation (PBE) of a relaxed structure of Cu2TcMo.

a = 4.657 Å, b = 4.657 Å, c = 4.657 Å
α = 132.22°, β = 131.90°, γ = 70.13°
Element x y z (fractional)
Cu: 0.000 0.000 0.000
Cu: 0.750 0.250 0.500
Mo: 0.500 0.500 0.000
Tc: 0.250 0.750 0.500

Values from the calculation:
Symmetry: Imm2
VASP energy, eV for the cell shown: -28.59
Polymorph energy (0 for the lowest one), eV per atom: 0.035
D(E_F), states/eV/f.u.: 2.6
Size of the total moment, μB/f.u.: 0.00
Formation enthalpy at 0 K, eV per atom: 0.200


3.
The following is a DFT calculation (PBE) of a relaxed structure of Tb3ErTl4.

a = 3.794 Å, b = 3.794 Å, c = 15.186 Å
α = 90.00°, β = 90.00°, γ = 90.00°
Element x y z (fractional)
Tl: 0.000 0.000 0.878
Tl: 0.000 0.000 0.122
Tl: 0.000 0.000 0.374
Tl: 0.000 0.000 0.626
Tb: 0.500 0.500 0.248
Tb: 0.500 0.500 0.500
Tb: 0.500 0.500 0.752
Er: 0.500 0.500 0.000

Values from the calculation:
Symmetry: P4/mmm
VASP energy, eV for the cell shown: -30.70
Polymorph energy (0 for the lowest one), eV per atom: 0.000
D(E_F), states/eV/f.u.: 5.7
Size of the total moment, μB/f.u.: 0.00
Formation enthalpy at 0 K, eV per atom: -0.347


4.
The following is a DFT calculation (PBE) of a relaxed structure of MgAl3Ir.

a = 4.795 Å, b = 4.795 Å, c = 4.795 Å
α = 90.00°, β = 90.00°, γ = 90.00°
Element x y z (fractional)
Mg: 0.500 0.500 0.500
Ir: 0.000 0.000 0.000
Al: 0.000 0.500 0.000
Al: 0.000 0.000 0.500
Al: 0.500 0.000 0.000

Values from the calculation:
Symmetry: Pm-3m
VASP energy, eV for the cell shown: -22.23
Polymorph energy (0 for the lowest one), eV per atom: 0.339
D(E_F), states/eV/f.u.: 2.6
Size of the total moment, μB/f.u.: 0.00
Formation enthalpy at 0 K, eV per atom: -0.110


5.
The following is a DFT calculation (PBE) of a relaxed structure of NaSrNp2O8.

a = 5.505 Å, b = 5.505 Å, c = 6.519 Å
α = 114.98°, β = 114.98°, γ = 90.00°
Element x y z (fractional)
Na: 0.750 0.250 0.500
Sr: 0.000 0.000 0.000
Np: 0.500 0.500 0.000
Np: 0.250 0.750 0.500
O: 0.835 0.823 0.220
O: 0.385 0.397 0.220
O: 0.572 0.630 0.716
O: 0.144 0.086 0.716
O: 0.914 0.428 0.284
O: 0.370 0.856 0.284
O: 0.177 0.615 0.780
O: 0.603 0.165 0.780

Values from the calculation:
Symmetry: I-4
VASP energy, eV for the cell shown: -98.40
Energy relative to the elements, uncorrected, kcal/mol of atoms: -57.37
D(E_F), states/eV/f.u.: 6.6
Size of the total moment, μB/f.u.: 1.02


6.
The following is a DFT calculation (PBE) of a relaxed structure of Be2BC.

a = 3.425 Å, b = 3.425 Å, c = 3.425 Å
α = 60.00°, β = 60.00°, γ = 60.00°
Element x y z (fractional)
Be: 0.250 0.250 0.250
Be: 0.750 0.750 0.750
C: 0.500 0.500 0.500
B: 0.000 0.000 0.000

Values from the calculation:
Symmetry: Fm-3m
VASP energy, eV for the cell shown: -18.45
D(E_F), states/eV/f.u.: 1.3
Size of the total moment, μB/f.u.: 0.00
Formation enthalpy at 0 K, eV per atom: 1.225


7.
The following is a DFT calculation (PBE) of a relaxed structure of La4YTm15.

a = 5.030 Å, b = 5.030 Å, c = 24.974 Å
α = 90.00°, β = 90.00°, γ = 90.00°
Element x y z (fractional)
La: 0.000 0.000 0.200
La: 0.000 0.000 0.399
La: 0.000 0.000 0.601
La: 0.000 0.000 0.800
Y: 0.000 0.000 0.000
Tm: 0.500 0.500 0.000
Tm: 0.500 0.500 0.198
Tm: 0.500 0.500 0.400
Tm: 0.500 0.500 0.600
Tm: 0.500 0.500 0.802
Tm: 0.500 0.000 0.098
Tm: 0.500 0.000 0.299
Tm: 0.500 0.000 0.500
Tm: 0.500 0.000 0.701
Tm: 0.500 0.000 0.902
Tm: 0.000 0.500 0.098
Tm: 0.000 0.500 0.299
Tm: 0.000 0.500 0.500
Tm: 0.000 0.500 0.701
Tm: 0.000 0.500 0.902

Values from the calculation:
Symmetry: P4/mmm
VASP energy, eV for the cell shown: -92.46
D(E_F), states/eV/f.u.: 32.0
Size of the total moment, μB/f.u.: 0.01
Formation enthalpy at 0 K, eV per atom: 0.039


8.
The following is a DFT calculation (PBE) of a relaxed structure of TbNd9Dy2.

a = 5.157 Å, b = 5.157 Å, c = 15.472 Å
α = 90.00°, β = 90.00°, γ = 90.00°
Element x y z (fractional)
Tb: 0.000 0.000 0.000
Nd: 0.500 0.500 0.000
Nd: 0.500 0.500 0.334
Nd: 0.500 0.500 0.666
Nd: 0.500 0.000 0.167
Nd: 0.500 0.000 0.500
Nd: 0.500 0.000 0.833
Nd: 0.000 0.500 0.167
Nd: 0.000 0.500 0.500
Nd: 0.000 0.500 0.833
Dy: 0.000 0.000 0.333
Dy: 0.000 0.000 0.667

Values from the calculation:
Symmetry: P4/mmm
VASP energy, eV for the cell shown: -56.56
D(E_F), states/eV/f.u.: 20.0
Size of the total moment, μB/f.u.: 0.00
Formation enthalpy at 0 K, eV per atom: 0.015


Look up the size of the total moment of the fifth one.
1.02 μB/f.u.


Among the records above, which one has the highest VASP energy?
Be2BC


Look up the size of the total moment of the second one.
0.00 μB/f.u.